Entry from the Alexandria database: Pm2GdGe after structural relaxation (PBE-GGA).

```
Pm2GdGe
1.0
3.990 0.000 0.000
0.000 3.990 0.000
0.000 0.000 7.068
Ge Gd Pm
1 1 2
Direct
0.500 0.500 0.000 Ge
0.500 0.500 0.500 Gd
0.000 0.000 0.791 Pm
0.000 0.000 0.209 Pm
```

Output
Energy of formation from the pure elements   -316 meV/atom
SG   P4/mmm, No. 123
Crystal system   tetragonal